# 1
This record from Alexandria describes a relaxed structure of NaSbTe2C. The functional is GGA-PBEsol.

abc: 4.9819 4.9819 4.6417
angles: 90.00 90.00 90.00
Space group P4/mmm (No. 123)
Inequivalent atoms, fractional coordinates:
1 Na 0.0000 0.0000 0.0000 (multiplicity 1)
2 Sb 0.5000 0.5000 0.0000 (multiplicity 1)
3 Te 0.0000 0.5000 0.5000 (multiplicity 2)
4 C 0.5000 0.5000 0.5000 (multiplicity 1)

Results
spin magnetization	0.00	μB per formula unit
N(E_F)	2.47	states/eV per cell
formation energy (no corrections)	0.64	eV/atom
E	-19.448	eV per cell


# 2
This record from Alexandria describes a relaxed structure of SrLi2Tl. The functional is GGA-PBEsol.

abc: 8.3615 4.8011 5.7462
angles: 90.00 118.82 90.00
Space group C2/m (No. 12)
Inequivalent atoms, fractional coordinates:
1 Sr 0.0000 0.0000 0.0000 (multiplicity 2)
2 Li 0.2120 0.0000 0.6359 (multiplicity 4)
3 Tl 0.0000 0.5000 0.5000 (multiplicity 2)

Results
formation energy from the elements	-241.9	meV per atom
spin magnetization	0.00	μB per formula unit
N(E_F)	5.39	states/eV per cell
E	-18.743	eV per cell


# 3
This record from Alexandria describes a relaxed structure of LaBeInPt2. The functional is GGA-PBEsol.

abc: 5.1396 5.1396 6.0150
angles: 90.00 90.00 90.00
Space group P4/mmm (No. 123)
Inequivalent atoms, fractional coordinates:
1 La 0.0000 0.0000 0.0000 (multiplicity 1)
2 Be 0.5000 0.5000 0.5000 (multiplicity 1)
3 In 0.0000 0.0000 0.5000 (multiplicity 1)
4 Pt 0.0000 0.5000 0.0000 (multiplicity 2)

Results
formation energy from the elements	1366.7	meV per atom
spin magnetization	0.00	μB per formula unit
N(E_F)	3.69	states/eV per cell
E	-19.423	eV per cell


# 4
This record from Alexandria describes a relaxed structure of KMnCo. The functional is GGA-PBEsol.

abc: 4.8378 4.8378 2.7302
angles: 90.00 90.00 120.00
Space group P-6m2 (No. 187)
Inequivalent atoms, fractional coordinates:
1 K 0.0000 0.0000 0.0000 (multiplicity 1)
2 Mn 0.3333 0.6667 0.5000 (multiplicity 1)
3 Co 0.6667 0.3333 0.5000 (multiplicity 1)

Results
formation energy from the elements	1372.7	meV per atom
spin magnetization	5.53	μB per formula unit
N(E_F)	3.39	states/eV per cell
E	-14.514	eV per cell


# 5
This record from Alexandria describes a relaxed structure of ZrScSb2. The functional is GGA-PBEsol.

abc: 4.0649 4.0649 20.2595
angles: 90.00 90.00 120.00
Space group R-3m (No. 166, hexagonal axes)
Inequivalent atoms, fractional coordinates:
1 Zr 0.0000 0.0000 0.0000 (multiplicity 3)
2 Sc 0.0000 0.0000 0.5000 (multiplicity 3)
3 Sb 0.0000 0.0000 0.2491 (multiplicity 6)

Results
spin magnetization	0.00	μB per formula unit
N(E_F)	6.13	states/eV per cell
formation energy (no corrections)	-0.81	eV/atom
E	-84.109	eV per cell
polymorph energy (0 for the lowest one)	0.00	eV/f.u.


# 6
This record from Alexandria describes a relaxed structure of BaPI2. The functional is GGA-PBEsol.

abc: 5.4408 5.4408 20.5574
angles: 90.00 90.00 90.00
Space group I-42d (No. 122)
Inequivalent atoms, fractional coordinates:
1 Ba 0.0000 0.0000 0.0000 (multiplicity 4)
2 P 0.0000 0.0000 0.5000 (multiplicity 4)
3 I 0.2016 0.2500 0.6250 (multiplicity 8)

Results
spin magnetization	0.00	μB per formula unit
N(E_F)	8.12	states/eV per cell
formation energy (no corrections)	-0.40	eV/atom
E	-52.228	eV per cell


- What is the N(E_F) in the fifth record?
  6.13 states/eV per cell


- Look up the E of the fifth one.
  -84.109 eV per cell